Material: As2HWSe
Method: DFT, GGA-PBE
State: relaxed

Results
Uncorrected energy = -24.51 eV/cell
ΔE to the lowest computed polymorph = 0.1009 eV per atom

Cell lengths 3.910, 3.910, 4.993 Å; angles 90.00, 90.00, 90.00 degrees
Sites, in units of the cell vectors:
W 0.500 0.500 0.500
As 0.000 0.500 0.000
As 0.500 0.000 0.000
Se 0.000 0.000 0.500
H 0.000 0.000 0.000